w.
CaGa4Sn | Alexandria via LeMat-Bulk | PBE | optimized geometry; Fermi-level density of states = 2.70 states/eV/cell; volume = 130.2 Å³/f.u.
1.0
5.6896 0.0000 0.0000
2.8448 4.9273 0.0000
2.8448 1.6424 4.6455
Ga Sn Ca
4 1 1
direct
0.6250 0.1251 0.6250
0.6250 0.6250 0.6250
0.1251 0.6250 0.6250
0.6250 0.6250 0.1251
0.0000 0.0000 0.0000
0.2500 0.2500 0.2500



x.
CaGa4Sn | Alexandria via LeMat-Bulk | PBE | optimized geometry; Fermi-level density of states = 9.41 states/eV/cell; volume = 144.8 Å³/f.u.
1.0
-4.0480 1.1631 -1.0523
-1.3321 -7.6785 -3.3630
-5.1149 -5.2087 13.9185
Ga Sn Ca
16 4 4
direct
0.5000 0.1343 0.9742
0.5000 0.8657 0.0258
0.5000 0.6343 0.5258
0.5000 0.0069 0.2970
0.5000 0.3070 0.3139
0.5000 0.3902 0.0562
0.5000 0.8070 0.1861
0.5000 0.4931 0.7970
0.5000 0.3657 0.4742
0.5000 0.6930 0.6861
0.5000 0.1098 0.5562
0.5000 0.9931 0.7030
0.5000 0.6098 0.9438
0.5000 0.1930 0.8139
0.5000 0.5069 0.2030
0.5000 0.8902 0.4438
0.0000 0.6491 0.0884
0.0000 0.3509 0.9116
0.0000 0.8509 0.5884
0.0000 0.1491 0.4116
0.0000 0.6246 0.3557
0.0000 0.3754 0.6443
0.0000 0.8754 0.8557
0.0000 0.1246 0.1443



Which of them is the least stable? Correct choice: x.